# Pm2PrSb3 (PBE-GGA, optimized geometry)
# Space group ... No. 65
# Size of the total moment ... 0.00 μB per cell
# E_tot ... -0.2070 hartree per atom
# Uncorrected formation energy ... -1.19 eV/atom
data_Pm2PrSb3
_cell_length_a 10.092
_cell_length_b 10.092
_cell_length_c 6.380
_cell_angle_alpha 90.00
_cell_angle_beta 90.00
_cell_angle_gamma 143.14
_symmetry_space_group_name_H-M 'P 1'
_symmetry_Int_Tables_number 1
loop_
_symmetry_equiv_pos_as_xyz
'x,y,z'
loop_
_atom_site_label
_atom_site_fract_x
_atom_site_fract_y
_atom_site_fract_z
Pm1 0.000 0.000 0.000
Pm2 0.166 0.834 0.500
Pm3 0.500 0.500 0.500
Pm4 0.834 0.166 0.500
Pr1 0.333 0.667 0.000
Pr2 0.667 0.333 0.000
Sb1 0.000 0.000 0.500
Sb2 0.166 0.834 0.000
Sb3 0.333 0.667 0.500
Sb4 0.500 0.500 0.000
Sb5 0.667 0.333 0.500
Sb6 0.834 0.166 0.000